Record 1
SrCaPt2: single point on PBEsol structure, meta-GGA SCAN.

- energy of formation from the pure elements (eV per atom) = -0.86
- density of states at the Fermi level (states/eV/f.u.) = 1.452
- energy above the most stable polymorph in this dataset (eV/f.u.) = 0.01
- uncorrected energy (eV/atom) = -43.945
- magnetization (μB/f.u.) = 0.0

Unit cell a=3.532 b=4.980 c=4.981 alpha=90.00 beta=90.00 gamma=90.00
Element x y z (fractional)
1 Pt 0.000 0.500 0.626
2 Sr 0.500 0.000 0.625
3 Ca 0.500 0.500 0.125
4 Pt 0.000 0.000 0.125

Record 2
Mg2ZnSi: single point on PBEsol structure, meta-GGA SCAN.

- density of states at the Fermi level (states/eV/f.u.) = 1.366
- uncorrected energy (eV/atom) = -8.238
- magnetization (μB/f.u.) = 0.0

Unit cell a=3.567 b=3.567 c=5.653 alpha=90.00 beta=90.00 gamma=90.00
Element x y z (fractional)
1 Mg 0.000 0.000 0.980
2 Zn 0.500 0.500 0.743
3 Si 0.000 0.000 0.505
4 Mg 0.500 0.500 0.272

Record 3
SiH: single point on PBEsol structure, meta-GGA SCAN.

- density of states at the Fermi level (states/eV/f.u.) = 0.000
- uncorrected energy (eV/atom) = -6.704
- magnetization (μB/f.u.) = 0.0

Unit cell a=3.857 b=3.857 c=4.806 alpha=90.00 beta=90.00 gamma=120.00
Element x y z (fractional)
1 H 0.667 0.333 0.612
2 Si 0.333 0.667 0.075
3 Si 0.667 0.333 0.925
4 H 0.333 0.667 0.388

Record 4
LaPOsS2: single point on PBEsol structure, meta-GGA SCAN.

- density of states at the Fermi level (states/eV/f.u.) = 2.813
- uncorrected energy (eV/atom) = -29.579
- magnetization (μB/f.u.) = 0.0

Unit cell a=4.371 b=4.803 c=4.803 alpha=90.00 beta=90.00 gamma=90.00
Element x y z (fractional)
1 S 0.000 0.000 0.500
2 La 0.500 0.500 0.500
3 Os 0.000 0.000 0.000
4 P 0.500 0.000 0.000
5 S 0.000 0.500 0.000